(1)
The following is a DFT calculation (PBEsol) of Li2Si2NiO6 after structural relaxation.

```
Li2Si2NiO6
1.0
0.000 9.327 3.488
3.728 0.000 3.488
3.728 9.327 0.000
Li Si Ni O
4 4 2 12
Direct
0.301 0.699 0.368
0.618 0.882 0.551
0.699 0.301 0.632
0.882 0.618 0.949
0.094 0.563 0.065
0.185 0.972 0.156
0.563 0.094 0.278
0.972 0.185 0.687
0.485 0.485 0.515
0.735 0.735 0.765
0.148 0.622 0.855
0.253 0.804 0.980
0.270 0.287 0.997
0.287 0.270 0.446
0.395 0.875 0.102
0.548 0.777 0.290
0.622 0.148 0.375
0.777 0.548 0.385
0.804 0.253 0.963
0.865 0.960 0.473
0.875 0.395 0.628
0.960 0.865 0.702
```

Values from the calculation:
The formation energy from raw total energies comes out at -2.21 eV/atom. Its symmetry is Fdd2. Its energy above the lowest structure with this stoichiometry is 0 meV/atom. The calculation puts the spin magnetization at 4.0 μB per cell. The density is 3.1 Mg/m³. As for the final energy: -7.03 eV per atom.

(2)
The following is a DFT calculation (PBEsol) of Cu2HgPOs after structural relaxation.

```
Cu2HgPOs
1.0
4.597 0.000 0.000
0.000 4.597 0.000
0.000 0.000 4.717
Cu Hg P Os
2 1 1 1
Direct
0.000 0.500 0.000
0.500 0.000 0.000
0.000 0.000 0.000
0.000 0.000 0.500
0.500 0.500 0.500
```

Values from the calculation:
Its symmetry is P4/mmm. The calculation puts the spin magnetization at 2.3 μB per cell. The density is 9.1 Mg/m³. As for the final energy: -3.41 eV per atom.

(3)
The following is a DFT calculation (PBEsol) of FeCoCl2 after structural relaxation.

```
FeCoCl2
1.0
2.949 -3.672 0.000
2.949 3.672 0.000
-1.457 0.000 2.807
Fe Co Cl
1 1 2
Direct
0.000 0.000 0.000
0.500 0.500 0.000
0.000 0.500 0.000
0.500 0.000 0.000
```

Values from the calculation:
The formation energy from raw total energies comes out at 0.32 eV/atom. Its symmetry is C2/m. The calculation puts the spin magnetization at 4.8 μB per cell. The density is 5.1 Mg/m³. As for the final energy: -4.86 eV per atom.

(4)
The following is a DFT calculation (PBEsol) of Au after structural relaxation.

```
Au
1.0
-1.620 1.620 1.620
1.620 -1.620 1.620
1.620 1.620 -1.620
Au
1
Direct
0.000 0.000 0.000
```

Values from the calculation:
Its symmetry is Im-3m. Its energy above the lowest structure with this stoichiometry is 20 meV/atom. The calculation puts the spin magnetization at 0.0 μB per cell. The density is 19.2 Mg/m³. As for the final energy: -3.90 eV per atom.